La2AsN2: relaxed, PBE.

```
La2AsN2
1.0
-4.2718 1.8595 2.0609
1.4463 -1.7373 4.5655
0.5328 3.6852 4.0760
La As N
2 1 2
direct
0.7500 0.2500 0.5000 La
0.2500 0.7500 0.5000 La
0.0000 0.0000 0.0000 As
0.7399 0.7399 0.5202 N
0.2601 0.2601 0.4798 N
```

Properties
* E above lowest polymorph: 0 kJ/mol of formula units
* SG: No. 139
* formation energy (no corrections): -0.79 eV/atom

La2ZrMo: relaxed, PBE.

```
La2ZrMo
1.0
-8.1601 6.3648 0.1869
-8.4739 4.9133 3.3445
-6.3532 7.6457 2.8833
Mo Zr La
1 1 2
direct
0.4939 0.4939 0.4939 Mo
0.7656 0.7656 0.7656 Zr
0.0066 0.0066 0.0066 La
0.2339 0.2339 0.2339 La
```

Properties
* E above lowest polymorph: 52 kJ/mol of formula units
* SG: No. 160

ZrCdCl2: relaxed, PBE.

```
ZrCdCl2
1.0
4.4697 0.0000 0.0000
0.0000 3.4070 0.0516
0.0000 0.4912 5.9854
Cd Cl Zr
1 2 1
direct
0.5000 0.7500 0.7500 Cd
0.0000 0.3722 0.4765 Cl
0.0000 0.1278 0.0235 Cl
0.5000 0.2500 0.2500 Zr
```

Properties
* E above lowest polymorph: 162 kJ/mol of formula units
* SG: No. 10
* formation energy (no corrections): -0.65 eV/atom

PmSmAgPb: relaxed, PBE.

```
PmSmAgPb
1.0
5.3986 0.0000 0.0000
2.6993 4.6754 0.0000
2.6993 1.5585 4.4080
Pb Pm Ag Sm
1 1 1 1
direct
0.7500 0.7500 0.7500 Pb
0.5000 0.5000 0.5000 Pm
0.2500 0.2500 0.2500 Ag
0.0000 0.0000 0.0000 Sm
```

Properties
* raw total energy: -4.429 eV/atom
* SG: No. 216

TcIrCl4: relaxed, PBE.

```
TcIrCl4
1.0
0.0000 4.0062 4.0062
4.0062 0.0000 4.0062
4.0062 4.0062 0.0000
Cl Tc Ir
4 1 1
direct
0.3754 0.8739 0.3754 Cl
0.8739 0.3754 0.3754 Cl
0.3754 0.3754 0.3754 Cl
0.3754 0.3754 0.8739 Cl
0.0000 0.0000 0.0000 Tc
0.7500 0.7500 0.7500 Ir
```

Properties
* SG: No. 216
* formation energy (no corrections): 1.67 eV/atom

Ce8Ir2Os3: relaxed, PBE.

```
Ce8Ir2Os3
1.0
6.6865 0.0000 -0.6938
0.0000 7.7551 0.0000
-3.3876 -3.8775 7.1538
Ce Os Ir
8 3 2
direct
0.9803 0.1079 0.2158 Ce
0.9609 0.3451 0.6901 Ce
0.5312 0.1403 0.7691 Ce
0.4688 0.3713 0.2309 Ce
0.5312 0.6287 0.7691 Ce
0.4688 0.8597 0.2309 Ce
0.0391 0.6550 0.3099 Ce
0.0197 0.8921 0.7842 Ce
0.5000 0.0000 0.0000 Os
0.0000 0.6961 0.0000 Os
0.0000 0.3039 0.0000 Os
0.5397 0.7566 0.5133 Ir
0.4603 0.2434 0.4867 Ir
```

Properties
* raw total energy: -7.875 eV/atom
* SG: No. 12

NpTlTeS: relaxed, PBE.

```
NpTlTeS
1.0
4.2504 -0.0005 -0.0008
-2.1247 3.6814 0.0002
-2.1245 -1.2278 7.9387
Te Tl S Np
1 1 1 1
direct
0.1142 0.9551 0.0844 Te
0.9664 0.3813 0.3626 Tl
0.5151 0.1554 0.6861 S
0.2822 0.5390 0.8366 Np
```

Properties
* SG: No. 160
* formation energy (no corrections): -0.78 eV/atom

TlRhCl2: relaxed, PBE.

```
TlRhCl2
1.0
6.0030 -0.0050 -0.0017
2.2190 5.5778 0.0017
-3.2288 -4.0879 2.9832
Tl Cl Rh
1 2 1
direct
0.2500 0.7500 0.5000 Tl
0.9116 0.9116 0.0000 Cl
0.5884 0.5884 0.0000 Cl
0.7500 0.2500 0.5000 Rh
```

Properties
* E above lowest polymorph: 6 kJ/mol of formula units
* SG: No. 71
* formation energy (no corrections): -0.43 eV/atom